First-principles (PBE) data for a relaxed structure of Mg7SnSb6, as listed in the Alexandria database.

Computed properties:
As for the space-group type: R3.

Cell lengths 8.135, 8.135, 8.593 Å; angles 61.75, 61.75, 60.00 degrees
Atoms (fractional coordinates):
1 Mg 0.902 0.198 0.365
2 Mg 0.453 0.133 0.649
3 Mg 0.766 0.453 0.649
4 Mg 0.666 0.666 0.001
5 Mg 0.198 0.535 0.365
6 Mg 0.535 0.902 0.365
7 Mg 0.133 0.766 0.649
8 Sn 0.996 0.996 0.011
9 Sb 0.758 0.060 0.775
10 Sb 0.597 0.268 0.238
11 Sb 0.897 0.597 0.238
12 Sb 0.060 0.407 0.775
13 Sb 0.407 0.758 0.775
14 Sb 0.268 0.897 0.238


First-principles (PBE) data for a relaxed structure of MgTaSn2Sb, as listed in the Alexandria database.

Computed properties:
As for the space-group type: P4/mmm.

Cell lengths 5.439, 5.326, 5.439 Å; angles 90.00, 90.00, 90.00 degrees
Atoms (fractional coordinates):
1 Sb 0.000 0.500 0.000
2 Mg 0.500 0.500 0.500
3 Sn 0.000 0.000 0.500
4 Sn 0.500 0.000 0.000
5 Ta 0.000 0.000 0.000


First-principles (PBE) data for a relaxed structure of MgSnSbTe2, as listed in the Alexandria database.

Computed properties:
As for the space-group type: P4/mmm.

Cell lengths 5.502, 5.502, 5.339 Å; angles 90.00, 90.00, 90.00 degrees
Atoms (fractional coordinates):
1 Sb 0.000 0.000 0.500
2 Mg 0.000 0.000 0.000
3 Te 0.000 0.500 0.000
4 Te 0.500 0.000 0.000
5 Sn 0.500 0.500 0.500


no.,V (Å³/atom),raw formation energy (eV per atom)
1,29.459,-0.22
2,31.508,0.38
3,32.325,0.26